A.
! BRu2Pb2 (PBE-GGA, optimized geometry); values from VASP
&SYSTEM
  ibrav = 0, nat = 5, ntyp = 3
/
ATOMIC_SPECIES
Ru 101.07 Ru.upf
Pb 207.20 Pb.upf
B 10.81 B.upf
CELL_PARAMETERS angstrom
5.401 0.000 0.000
0.000 5.401 0.000
2.701 2.701 4.093
ATOMIC_POSITIONS crystal
Ru 0.768 0.768 0.464
Ru 0.232 0.232 0.536
Pb 0.750 0.250 0.500
B 0.000 0.000 0.000
Pb 0.250 0.750 0.500
! Fermi-level density of states ... 0.76 states/eV/atom
! SG ... No. 139
! V ... 23.88 Å³ per atom



B.
! BRu2Pb2 (PBE-GGA, optimized geometry); values from VASP
&SYSTEM
  ibrav = 0, nat = 10, ntyp = 3
/
ATOMIC_SPECIES
Ru 101.07 Ru.upf
Pb 207.20 Pb.upf
B 10.81 B.upf
CELL_PARAMETERS angstrom
6.074 0.000 0.000
0.000 6.074 0.000
0.000 0.000 4.775
ATOMIC_POSITIONS crystal
Ru 0.174 0.326 0.000
Ru 0.326 0.826 0.000
Ru 0.674 0.174 0.000
Pb 0.673 0.827 0.500
Pb 0.827 0.327 0.500
Pb 0.327 0.173 0.500
B 0.500 0.500 0.000
Pb 0.173 0.673 0.500
B 0.000 0.000 0.000
Ru 0.826 0.674 0.000
! Fermi-level density of states ... 0.99 states/eV/atom
! SG ... No. 127
! V ... 17.62 Å³ per atom



Most stable one: B, least stable one: A.



A.
! BRuPb3 (PBE-GGA, optimized geometry); values from VASP
&SYSTEM
  ibrav = 0, nat = 5, ntyp = 3
/
ATOMIC_SPECIES
Pb 207.20 Pb.upf
Ru 101.07 Ru.upf
B 10.81 B.upf
CELL_PARAMETERS angstrom
-4.614 1.931 1.548
0.217 -2.946 4.323
2.465 3.874 2.516
ATOMIC_POSITIONS crystal
Pb 0.000 0.000 0.500
Pb 0.500 0.000 0.000
Ru 0.000 0.000 0.000
B 0.500 0.500 0.500
Pb 0.000 0.500 0.000
! Fermi-level density of states ... 1.14 states/eV/atom
! SG ... No. 221
! V ... 28.71 Å³ per atom



B.
! BRuPb3 (PBE-GGA, optimized geometry); values from VASP
&SYSTEM
  ibrav = 0, nat = 5, ntyp = 3
/
ATOMIC_SPECIES
Ru 101.07 Ru.upf
Pb 207.20 Pb.upf
B 10.81 B.upf
CELL_PARAMETERS angstrom
-1.685 -3.176 3.357
2.487 -3.634 -2.190
3.894 0.947 2.851
ATOMIC_POSITIONS crystal
Ru 0.500 0.500 0.500
Pb 0.500 0.000 0.000
Pb 0.000 0.500 0.000
Pb 0.000 0.000 0.500
B 0.000 0.000 0.000
! Fermi-level density of states ... 1.44 states/eV/atom
! SG ... No. 221
! V ... 23.79 Å³ per atom



Most stable one: A, least stable one: B.